--- A ---
VASP calculation (PBE) on an optimized crystal structure of La2BeH.

```
data_La2BeH
_chemical_formula_sum 'La8 Be4 H4'
_cell_length_a 6.9622
_cell_length_b 6.9622
_cell_length_c 6.9622
_cell_angle_alpha 90.00
_cell_angle_beta 90.00
_cell_angle_gamma 90.00
_space_group_name_H-M_alt 'F m -3 m'
_space_group_IT_number 225
_space_group_name_Hall '-F 4 2 3'
loop_
_atom_site_label
_atom_site_type_symbol
_atom_site_fract_x
_atom_site_fract_y
_atom_site_fract_z
La1 La 0.2500 0.2500 0.2500
Be1 Be 0.0000 0.0000 0.0000
H1 H 0.0000 0.0000 0.5000
```

Results
Density of states at the Fermi level = 19.22 states/eV per cell
Magnetization = 0.0 μB per formula unit



--- B ---
VASP calculation (PBE) on an optimized crystal structure of La2BeH.

```
data_La2BeH
_chemical_formula_sum 'La8 Be4 H4'
_cell_length_a 5.2705
_cell_length_b 5.2705
_cell_length_c 14.1830
_cell_angle_alpha 90.00
_cell_angle_beta 90.00
_cell_angle_gamma 90.00
_space_group_name_H-M_alt 'I -4 2 d'
_space_group_IT_number 122
_space_group_name_Hall 'I -4 2bw'
loop_
_atom_site_label
_atom_site_type_symbol
_atom_site_fract_x
_atom_site_fract_y
_atom_site_fract_z
La1 La 0.1921 0.2500 0.1250
Be1 Be 0.0000 0.0000 0.5000
H1 H 0.0000 0.0000 0.0000
```

Results
Density of states at the Fermi level = 17.30 states/eV per cell
Magnetization = 0.0 μB per formula unit



Most stable to least stable, the ends of the list are A and B.



--- A ---
VASP calculation (PBE) on an optimized crystal structure of La2BeHS.

```
data_La2BeHS
_chemical_formula_sum 'La2 Be1 H1 S1'
_cell_length_a 5.2591
_cell_length_b 5.2591
_cell_length_c 3.9113
_cell_angle_alpha 90.00
_cell_angle_beta 90.00
_cell_angle_gamma 90.00
_space_group_name_H-M_alt 'P 4/m m m'
_space_group_IT_number 123
_space_group_name_Hall '-P 4 2'
loop_
_atom_site_label
_atom_site_type_symbol
_atom_site_fract_x
_atom_site_fract_y
_atom_site_fract_z
La1 La 0.0000 0.5000 0.0000
Be1 Be 0.0000 0.0000 0.0000
H1 H 0.5000 0.5000 0.5000
S1 S 0.0000 0.0000 0.5000
```

Results
Density of states at the Fermi level = 5.32 states/eV per cell
Magnetization = 0.0 μB per formula unit



--- B ---
VASP calculation (PBE) on an optimized crystal structure of La2BeHS.

```
data_La2BeHS
_chemical_formula_sum 'La2 Be1 H1 S1'
_cell_length_a 5.3649
_cell_length_b 5.3649
_cell_length_c 3.4607
_cell_angle_alpha 90.00
_cell_angle_beta 90.00
_cell_angle_gamma 90.00
_space_group_name_H-M_alt 'P 4/m m m'
_space_group_IT_number 123
_space_group_name_Hall '-P 4 2'
loop_
_atom_site_label
_atom_site_type_symbol
_atom_site_fract_x
_atom_site_fract_y
_atom_site_fract_z
La1 La 0.0000 0.5000 0.0000
Be1 Be 0.0000 0.0000 0.0000
H1 H 0.0000 0.0000 0.5000
S1 S 0.5000 0.5000 0.5000
```

Results
Density of states at the Fermi level = 4.91 states/eV per cell
Magnetization = 0.0 μB per formula unit



Most stable to least stable, the ends of the list are B and A.



--- A ---
VASP calculation (PBE) on an optimized crystal structure of LiBeH2.

```
data_LiBeH2
_chemical_formula_sum 'Li4 Be4 H8'
_cell_length_a 3.9615
_cell_length_b 3.9615
_cell_length_c 7.9106
_cell_angle_alpha 90.00
_cell_angle_beta 90.00
_cell_angle_gamma 90.00
_space_group_name_H-M_alt 'I -4 2 d'
_space_group_IT_number 122
_space_group_name_Hall 'I -4 2bw'
loop_
_atom_site_label
_atom_site_type_symbol
_atom_site_fract_x
_atom_site_fract_y
_atom_site_fract_z
Li1 Li 0.0000 0.0000 0.0000
Be1 Be 0.0000 0.0000 0.5000
H1 H 0.1698 0.2500 0.6250
```

Results
Density of states at the Fermi level = 3.06 states/eV per cell
Magnetization = 0.0 μB per formula unit



--- B ---
VASP calculation (PBE) on an optimized crystal structure of LiBeH2.

```
data_LiBeH2
_chemical_formula_sum 'Li4 Be4 H8'
_cell_length_a 3.8019
_cell_length_b 9.6970
_cell_length_c 4.1774
_cell_angle_alpha 90.00
_cell_angle_beta 90.00
_cell_angle_gamma 90.00
_space_group_name_H-M_alt 'P n a 21'
_space_group_IT_number 33
loop_
_space_group_symop_operation_xyz
'x,y,z'
'-x,-y,z+1/2'
'-x+1/2,y+1/2,z+1/2'
'x+1/2,-y+1/2,z'
loop_
_atom_site_label
_atom_site_type_symbol
_atom_site_fract_x
_atom_site_fract_y
_atom_site_fract_z
Li1 Li 0.1133 0.1187 0.0000
Be1 Be 0.2082 0.3074 0.4792
H1 H 0.0832 0.7189 0.7722
H2 H 0.1933 0.9416 0.8877
```

Results
Density of states at the Fermi level = 1.42 states/eV per cell
Magnetization = 0.0 μB per formula unit



Most stable to least stable, the ends of the list are B and A.



--- A ---
VASP calculation (PBE) on an optimized crystal structure of LiBeHRh2.

```
data_LiBeHRh2
_chemical_formula_sum 'Li1 Be1 H1 Rh2'
_cell_length_a 3.9345
_cell_length_b 3.9345
_cell_length_c 3.1276
_cell_angle_alpha 90.00
_cell_angle_beta 90.00
_cell_angle_gamma 90.00
_space_group_name_H-M_alt 'P 4/m m m'
_space_group_IT_number 123
_space_group_name_Hall '-P 4 2'
loop_
_atom_site_label
_atom_site_type_symbol
_atom_site_fract_x
_atom_site_fract_y
_atom_site_fract_z
Li1 Li 0.0000 0.0000 0.0000
Be1 Be 0.5000 0.5000 0.0000
H1 H 0.0000 0.0000 0.5000
Rh1 Rh 0.0000 0.5000 0.5000
```

Results
Density of states at the Fermi level = 3.73 states/eV per cell
Magnetization = 0.0 μB per formula unit



--- B ---
VASP calculation (PBE) on an optimized crystal structure of LiBeHRh2.

```
data_LiBeHRh2
_chemical_formula_sum 'Li1 Be1 H1 Rh2'
_cell_length_a 4.2665
_cell_length_b 4.2665
_cell_length_c 2.8430
_cell_angle_alpha 90.00
_cell_angle_beta 90.00
_cell_angle_gamma 90.00
_space_group_name_H-M_alt 'P 4/m m m'
_space_group_IT_number 123
_space_group_name_Hall '-P 4 2'
loop_
_atom_site_label
_atom_site_type_symbol
_atom_site_fract_x
_atom_site_fract_y
_atom_site_fract_z
Li1 Li 0.0000 0.0000 0.0000
Be1 Be 0.5000 0.5000 0.5000
H1 H 0.0000 0.0000 0.5000
Rh1 Rh 0.0000 0.5000 0.0000
```

Results
Density of states at the Fermi level = 3.83 states/eV per cell
Magnetization = 0.0 μB per formula unit



Most stable to least stable, the ends of the list are A and B.



--- A ---
VASP calculation (PBE) on an optimized crystal structure of Mg2BeH6.

```
data_Mg2BeH6
_chemical_formula_sum 'Mg4 Be2 H12'
_cell_length_a 4.4485
_cell_length_b 4.9160
_cell_length_c 7.7313
_cell_angle_alpha 90.00
_cell_angle_beta 123.13
_cell_angle_gamma 90.00
_space_group_name_H-M_alt 'P 1 21/c 1'
_space_group_IT_number 14
loop_
_space_group_symop_operation_xyz
'x,y,z'
'-x,-y,-z'
'-x,y+1/2,-z+1/2'
'x,-y+1/2,z+1/2'
loop_
_atom_site_label
_atom_site_type_symbol
_atom_site_fract_x
_atom_site_fract_y
_atom_site_fract_z
Mg1 Mg 0.2186 0.0951 0.2465
Be1 Be 0.5000 0.0000 0.0000
H1 H 0.1467 0.1626 0.9453
H2 H 0.2789 0.7084 0.9311
H3 H 0.3985 0.0444 0.7701
```

Results
Density of states at the Fermi level = 0.00 states/eV per cell
Magnetization = 0.0 μB per formula unit



--- B ---
VASP calculation (PBE) on an optimized crystal structure of Mg2BeH6.

```
data_Mg2BeH6
_chemical_formula_sum 'Mg8 Be4 H24'
_cell_length_a 6.2803
_cell_length_b 6.2803
_cell_length_c 6.2803
_cell_angle_alpha 90.00
_cell_angle_beta 90.00
_cell_angle_gamma 90.00
_space_group_name_H-M_alt 'F m -3 m'
_space_group_IT_number 225
_space_group_name_Hall '-F 4 2 3'
loop_
_atom_site_label
_atom_site_type_symbol
_atom_site_fract_x
_atom_site_fract_y
_atom_site_fract_z
Mg1 Mg 0.2500 0.2500 0.2500
Be1 Be 0.0000 0.0000 0.0000
H1 H 0.0000 0.0000 0.2524
```

Results
Magnetization = 0.0 μB per formula unit



Most stable to least stable, the ends of the list are A and B.



--- A ---
VASP calculation (PBE) on an optimized crystal structure of MgBe2H6.

```
data_MgBe2H6
_chemical_formula_sum 'Mg4 Be8 H24'
_cell_length_a 6.1976
_cell_length_b 6.1976
_cell_length_c 6.1976
_cell_angle_alpha 90.00
_cell_angle_beta 90.00
_cell_angle_gamma 90.00
_space_group_name_H-M_alt 'F m -3 m'
_space_group_IT_number 225
_space_group_name_Hall '-F 4 2 3'
loop_
_atom_site_label
_atom_site_type_symbol
_atom_site_fract_x
_atom_site_fract_y
_atom_site_fract_z
Mg1 Mg 0.0000 0.0000 0.0000
Be1 Be 0.2500 0.2500 0.2500
H1 H 0.0000 0.0000 0.2882
```

Results
Density of states at the Fermi level = 10.48 states/eV per cell
Magnetization = 0.0 μB per formula unit



--- B ---
VASP calculation (PBE) on an optimized crystal structure of MgBe2H6.

```
data_MgBe2H6
_chemical_formula_sum 'Mg4 Be8 H24'
_cell_length_a 8.7379
_cell_length_b 8.0350
_cell_length_c 4.6152
_cell_angle_alpha 90.00
_cell_angle_beta 109.09
_cell_angle_gamma 90.00
_space_group_name_H-M_alt 'C 1 2/c 1'
_space_group_IT_number 15
loop_
_space_group_symop_operation_xyz
'x,y,z'
'-x,-y,-z'
'-x,y,-z+1/2'
'x,-y,z+1/2'
'x+1/2,y+1/2,z'
'-x+1/2,-y+1/2,-z'
'-x+1/2,y+1/2,-z+1/2'
'x+1/2,-y+1/2,z+1/2'
loop_
_atom_site_label
_atom_site_type_symbol
_atom_site_fract_x
_atom_site_fract_y
_atom_site_fract_z
Mg1 Mg 0.0000 0.1378 0.2500
Be1 Be 0.2080 0.4234 0.2338
H1 H 0.1174 0.0730 0.6627
H2 H 0.1379 0.4790 0.4609
H3 H 0.1579 0.2572 0.1642
```

Results
Density of states at the Fermi level = 0.00 states/eV per cell
Magnetization = 0.0 μB per formula unit



Most stable to least stable, the ends of the list are B and A.